Entry 1:
A geometry-optimized DyCuTe2 structure. Source: OQMD via LeMat-Bulk, functional GGA-PBE.

Geometry as POSCAR:
```
DyCuTe2
1.0
6.901 0.000 0.000
0.000 4.325 0.000
-0.122 0.000 7.465
Dy Cu Te
2 2 4
Cartesian
0.000 0.000 0.000 Dy
-0.061 2.162 3.732 Dy
2.368 0.000 2.555 Cu
4.410 0.000 4.910 Cu
1.720 0.000 5.059 Te
1.820 2.162 1.213 Te
4.958 2.162 6.251 Te
5.058 0.000 2.406 Te
```

DFT total energy   -0.3338 Ry/atom
Total magnetization   0.00 μB/cell

---

Entry 2:
A geometry-optimized Hf2ZnAs structure. Source: OQMD via LeMat-Bulk, functional GGA-PBE.

Geometry as POSCAR:
```
Hf2ZnAs
1.0
0.000 3.367 3.367
3.367 0.000 3.367
3.367 3.367 0.000
Hf Zn As
2 1 1
Cartesian
0.000 0.000 0.000 Hf
1.684 1.684 1.684 Hf
5.051 5.051 5.051 Zn
3.367 3.367 3.367 As
```

DFT total energy   -0.4535 Ry/atom
Total magnetization   1.01 μB/cell

---

Entry 3:
A geometry-optimized KPmHg structure. Source: OQMD via LeMat-Bulk, functional GGA-PBE.

Geometry as POSCAR:
```
KPmHg
1.0
0.000 3.792 3.792
3.792 0.000 3.792
3.792 3.792 0.000
K Pm Hg
1 1 1
Cartesian
0.000 0.000 0.000 K
5.688 5.688 5.688 Pm
3.792 3.792 3.792 Hg
```

Excess energy over the best structure of this formula in the dataset   0.0 meV per atom
Total magnetization   0.69 μB/cell

---

Entry 4:
A geometry-optimized AsOs2Pd structure. Source: OQMD via LeMat-Bulk, functional GGA-PBE.

Geometry as POSCAR:
```
AsOs2Pd
1.0
0.000 3.122 3.122
3.122 0.000 3.122
3.122 3.122 0.000
As Os Pd
1 2 1
Cartesian
0.000 0.000 0.000 As
3.122 3.122 3.122 Os
4.683 4.683 4.683 Os
1.561 1.561 1.561 Pd
```

DFT total energy   -0.5502 Ry/atom
Total magnetization   0.01 μB/cell

---

Entry 5:
A geometry-optimized DyEr5Bi6 structure. Source: OQMD via LeMat-Bulk, functional GGA-PBE.

Geometry as POSCAR:
```
DyEr5Bi6
1.0
3.843 -6.656 0.000
3.843 6.656 0.000
-2.561 0.000 7.246
Dy Er Bi
1 5 6
Cartesian
0.000 0.000 0.000 Dy
2.562 4.447 3.623 Er
3.843 2.223 0.000 Er
2.562 0.000 3.623 Er
3.843 -2.223 0.000 Er
2.562 -4.447 3.623 Er
1.287 2.227 1.819 Bi
0.011 0.000 5.433 Bi
1.287 -2.227 1.819 Bi
3.838 2.227 5.427 Bi
5.114 0.000 1.812 Bi
3.838 -2.227 5.427 Bi
```

DFT total energy   -0.3782 Ry/atom
Total magnetization   0.00 μB/cell

---

Entry 6:
A geometry-optimized BaSmSn3 structure. Source: OQMD via LeMat-Bulk, functional GGA-PBE.

Geometry as POSCAR:
```
BaSmSn3
1.0
-2.483 2.483 6.987
2.483 -2.483 6.987
2.483 2.483 -6.987
Ba Sm Sn
1 1 3
Cartesian
0.000 0.000 0.000 Ba
0.000 0.000 9.329 Sm
2.483 0.000 4.284 Sn
0.000 0.000 6.213 Sn
0.000 2.483 4.284 Sn
```

DFT total energy   -0.3002 Ry/atom
Total magnetization   0.03 μB/cell

---

Entry 7:
A geometry-optimized PaAgO3 structure. Source: OQMD via LeMat-Bulk, functional GGA-PBE.

Geometry as POSCAR:
```
PaAgO3
1.0
3.034 1.752 4.850
-3.034 1.752 4.850
0.000 -3.503 4.850
Pa Ag O
2 2 6
Cartesian
0.000 0.000 2.284 Pa
0.000 0.000 12.266 Pa
0.000 0.000 5.651 Ag
0.000 0.000 8.899 Ag
-2.290 -0.082 6.167 O
-1.074 -2.024 8.383 O
1.216 -1.942 6.167 O
-1.216 1.942 8.383 O
1.074 2.024 6.167 O
2.290 0.082 8.383 O
```

DFT total energy   -0.5444 Ry/atom
Total magnetization   0.00 μB/cell

---

Entry 8:
A geometry-optimized Si64Tc structure. Source: OQMD via LeMat-Bulk, functional GGA-PBE.

Geometry as POSCAR:
```
Si64Tc
1.0
10.929 0.000 0.000
0.000 10.929 0.000
0.000 0.000 10.929
Si Tc
64 1
Cartesian
0.000 0.000 2.728 Si
0.000 0.000 8.201 Si
0.000 2.725 5.465 Si
0.000 2.728 0.000 Si
0.000 5.465 2.725 Si
0.000 5.465 8.205 Si
0.000 8.201 0.000 Si
0.000 8.205 5.465 Si
1.358 4.106 6.823 Si
1.358 6.823 4.106 Si
1.369 1.369 4.084 Si
1.369 4.084 1.369 Si
1.369 6.845 9.560 Si
1.369 9.560 6.845 Si
1.421 1.421 9.509 Si
1.421 9.509 1.421 Si
2.725 0.000 5.465 Si
2.725 5.465 0.000 Si
2.728 0.000 0.000 Si
2.734 5.465 5.465 Si
2.738 2.738 2.738 Si
2.738 8.191 8.191 Si
2.764 2.764 8.165 Si
2.764 8.165 2.764 Si
4.084 1.369 1.369 Si
4.084 9.560 9.560 Si
4.100 4.100 4.100 Si
4.100 6.829 6.829 Si
4.106 1.358 6.823 Si
4.106 4.106 9.571 Si
4.106 6.823 1.358 Si
4.106 9.571 4.106 Si
5.465 0.000 2.725 Si
5.465 0.000 8.205 Si
5.465 2.725 0.000 Si
5.465 2.734 5.465 Si
5.465 5.465 2.734 Si
5.465 5.465 8.195 Si
5.465 8.195 5.465 Si
5.465 8.205 0.000 Si
6.823 1.358 4.106 Si
6.823 4.106 1.358 Si
6.823 6.823 9.571 Si
6.823 9.571 6.823 Si
6.829 4.100 6.829 Si
6.829 6.829 4.100 Si
6.845 1.369 9.560 Si
6.845 9.560 1.369 Si
8.165 2.764 2.764 Si
8.165 8.165 8.165 Si
8.191 2.738 8.191 Si
8.191 8.191 2.738 Si
8.201 0.000 0.000 Si
8.195 5.465 5.465 Si
8.205 0.000 5.465 Si
8.205 5.465 0.000 Si
9.509 1.421 1.421 Si
9.509 9.509 9.509 Si
9.560 1.369 6.845 Si
9.560 4.084 9.560 Si
9.560 6.845 1.369 Si
9.560 9.560 4.084 Si
9.571 4.106 4.106 Si
9.571 6.823 6.823 Si
0.000 0.000 0.000 Tc
```

DFT total energy   -0.4022 Ry/atom
Total magnetization   0.92 μB/cell

---

Entry 9:
A geometry-optimized Li4AlHgPt2 structure. Source: OQMD via LeMat-Bulk, functional GGA-PBE.

Geometry as POSCAR:
```
Li4AlHgPt2
1.0
4.269 0.000 0.000
0.000 4.269 0.000
0.000 0.000 6.529
Li Al Hg Pt
4 1 1 2
Cartesian
0.000 0.000 0.000 Li
0.000 2.134 4.840 Li
2.134 0.000 1.689 Li
2.134 2.134 3.265 Li
0.000 0.000 3.265 Al
2.134 2.134 0.000 Hg
0.000 2.134 1.877 Pt
2.134 0.000 4.653 Pt
```

DFT total energy   -0.2620 Ry/atom
Total magnetization   0.01 μB/cell

---

Entry 10:
A geometry-optimized LaGaNi structure. Source: OQMD via LeMat-Bulk, functional GGA-PBE.

Geometry as POSCAR:
```
LaGaNi
1.0
0.000 3.378 3.378
3.378 0.000 3.378
3.378 3.378 0.000
La Ga Ni
1 1 1
Cartesian
0.000 0.000 0.000 La
5.067 5.067 5.067 Ga
1.689 1.689 1.689 Ni
```

DFT total energy   -0.3121 Ry/atom
Total magnetization   0.03 μB/cell

---

Entry 11:
A geometry-optimized Er2HfAs3 structure. Source: OQMD via LeMat-Bulk, functional GGA-PBE.

Geometry as POSCAR:
```
Er2HfAs3
1.0
3.975 0.000 0.000
-1.988 3.443 0.000
0.000 0.000 9.793
Er Hf As
2 1 3
Cartesian
0.000 2.295 3.217 Er
1.988 1.148 6.576 Er
0.000 0.000 0.000 Hf
0.000 0.000 4.897 As
0.000 2.295 8.278 As
1.988 1.148 1.515 As
```

DFT total energy   -0.5033 Ry/atom
Total magnetization   0.00 μB/cell

---

Entry 12:
A geometry-optimized AsPtAuO structure. Source: OQMD via LeMat-Bulk, functional GGA-PBE.

Geometry as POSCAR:
```
AsPtAuO
1.0
4.046 0.000 0.000
0.000 4.046 0.000
0.000 0.000 6.967
As Pt Au O
2 2 2 2
Cartesian
1.012 1.012 1.727 As
3.035 3.035 5.239 As
1.012 3.035 3.483 Pt
3.035 1.012 3.483 Pt
1.012 1.012 5.611 Au
3.035 3.035 1.355 Au
1.012 3.035 0.000 O
3.035 1.012 0.000 O
```

Excess energy over the best structure of this formula in the dataset   226.1 meV per atom
Total magnetization   0.00 μB/cell